1.
First-principles (GGA-PBE) data for CaAl2Re after structural relaxation, as listed in Alexandria.

Output
formation energy	0.232	eV per atom
symmetry	Cm
calculated density	6.55	g/cm3
DOS at the Fermi energy	0.470	states/eV per atom
total magnetic moment	0.000	μB/f.u.

Lattice parameters (Å, degrees): 5.321 5.321 5.148 76.20 76.20 30.19
Sites, in units of the cell vectors:
Al  0.008  0.008  0.030
Al  0.725  0.725  0.752
Ca  0.493  0.493  0.527
Re  0.274  0.274  0.190


2.
First-principles (GGA-PBE) data for BaZr2Cd after structural relaxation, as listed in Alexandria.

Output
formation energy	0.563	eV per atom
symmetry	P4/mmm
calculated density	7.00	g/cm3
DOS at the Fermi energy	1.224	states/eV per atom
total magnetic moment	0.000	μB/f.u.

Lattice parameters (Å, degrees): 5.449 5.449 3.452 90.00 90.00 90.00
Sites, in units of the cell vectors:
Cd  0.000  0.500  0.500
Zr  0.500  0.500  0.000
Zr  0.000  0.000  0.000
Ba  0.500  0.000  0.500


3.
First-principles (GGA-PBE) data for Ba2Se2I after structural relaxation, as listed in Alexandria.

Output
symmetry	C2/c
calculated density	4.66	g/cm3
DOS at the Fermi energy	0.319	states/eV per atom
calculated total energy	-40.31	eV for the cell shown
total magnetic moment	0.924	μB/f.u.

Lattice parameters (Å, degrees): 5.081 8.619 10.381 114.40 104.17 90.00
Sites, in units of the cell vectors:
I  0.363  0.250  0.000
I  0.637  0.750  0.000
Se  0.227  0.939  0.379
Se  0.773  0.061  0.621
Se  0.152  0.439  0.379
Se  0.848  0.561  0.621
Ba  0.654  0.153  0.307
Ba  0.346  0.847  0.693
Ba  0.347  0.347  0.693
Ba  0.653  0.653  0.307


4.
First-principles (GGA-PBE) data for LiBi3Ir after structural relaxation, as listed in Alexandria.

Output
formation energy	0.744	eV per atom
symmetry	Pm-3m
calculated density	11.26	g/cm3
DOS at the Fermi energy	0.726	states/eV per atom
total magnetic moment	0.000	μB/f.u.

Lattice parameters (Å, degrees): 4.958 4.958 4.958 90.00 90.00 90.00
Sites, in units of the cell vectors:
Bi  0.500  0.000  0.000
Bi  0.000  0.500  0.000
Bi  0.000  0.000  0.500
Ir  0.500  0.500  0.500
Li  0.000  0.000  0.000


5.
First-principles (GGA-PBE) data for TeW3Br after structural relaxation, as listed in Alexandria.

Output
symmetry	Pm-3m
calculated density	10.27	g/cm3
DOS at the Fermi energy	3.425	states/eV per atom
calculated total energy	-29.68	eV for the cell shown
total magnetic moment	0.000	μB/f.u.

Lattice parameters (Å, degrees): 4.970 4.970 4.970 90.00 90.00 90.00
Sites, in units of the cell vectors:
W  0.000  0.000  0.500
W  0.000  0.500  0.000
W  0.500  0.000  0.000
Te  0.000  0.000  0.000
Br  0.500  0.500  0.500


6.
First-principles (GGA-PBE) data for Zr2ScOs after structural relaxation, as listed in Alexandria.

Output
formation energy	-0.250	eV per atom
symmetry	P4mm
calculated density	8.44	g/cm3
DOS at the Fermi energy	0.895	states/eV per atom
total magnetic moment	0.000	μB/f.u.

Lattice parameters (Å, degrees): 3.268 3.268 7.689 90.00 90.00 90.00
Sites, in units of the cell vectors:
Os  0.000  0.000  0.497
Sc  0.500  0.500  0.701
Zr  0.000  0.000  0.013
Zr  0.500  0.500  0.288


7.
First-principles (GGA-PBE) data for BPbF4 after structural relaxation, as listed in Alexandria.

Output
symmetry	Pnma
calculated density	4.48	g/cm3
DOS at the Fermi energy	0.179	states/eV per atom
calculated total energy	-129.88	eV for the cell shown
total magnetic moment	0.000	μB/f.u.

Lattice parameters (Å, degrees): 7.625 8.591 6.649 90.00 90.00 90.00
Sites, in units of the cell vectors:
Pb  0.250  0.250  0.376
Pb  0.250  0.250  0.876
Pb  0.750  0.750  0.624
Pb  0.750  0.750  0.124
F  0.750  0.043  0.198
F  0.098  0.733  0.126
F  0.750  0.457  0.698
F  0.402  0.767  0.626
F  0.902  0.233  0.374
F  0.250  0.957  0.802
F  0.750  0.458  0.048
F  0.250  0.543  0.302
F  0.402  0.733  0.126
F  0.598  0.267  0.874
F  0.750  0.042  0.548
F  0.250  0.542  0.952
F  0.098  0.767  0.626
F  0.598  0.233  0.374
F  0.902  0.267  0.874
F  0.250  0.958  0.452
B  0.250  0.860  0.627
B  0.750  0.360  0.873
B  0.750  0.140  0.373
B  0.250  0.640  0.127


8.
First-principles (GGA-PBE) data for RbTeS3 after structural relaxation, as listed in Alexandria.

Output
symmetry	Pm-3m
calculated density	2.29	g/cm3
DOS at the Fermi energy	1.544	states/eV per atom
calculated total energy	-9.78	eV for the cell shown
total magnetic moment	7.000	μB/f.u.

Lattice parameters (Å, degrees): 6.071 6.071 6.071 90.00 90.00 90.00
Sites, in units of the cell vectors:
S  0.500  0.000  0.000
S  0.000  0.500  0.000
S  0.000  0.000  0.500
Rb  0.000  0.000  0.000
Te  0.500  0.500  0.500


9.
First-principles (GGA-PBE) data for CaTl2Te2 after structural relaxation, as listed in Alexandria.

Output
symmetry	P4/mbm
calculated density	7.09	g/cm3
DOS at the Fermi energy	0.159	states/eV per atom
calculated total energy	-30.33	eV for the cell shown
total magnetic moment	0.000	μB/f.u.

Lattice parameters (Å, degrees): 8.728 8.728 4.327 90.00 90.00 90.00
Sites, in units of the cell vectors:
Tl  0.622  0.122  0.000
Tl  0.122  0.378  0.000
Tl  0.378  0.878  0.000
Tl  0.878  0.622  0.000
Te  0.813  0.313  0.500
Te  0.313  0.187  0.500
Te  0.187  0.687  0.500
Te  0.687  0.813  0.500
Ca  0.000  0.000  0.000
Ca  0.500  0.500  0.000


10.
First-principles (GGA-PBE) data for CeTh2TcN5 after structural relaxation, as listed in Alexandria.

Output
symmetry	P4/mbm
calculated density	9.42	g/cm3
DOS at the Fermi energy	0.812	states/eV per atom
calculated total energy	-163.56	eV for the cell shown
total magnetic moment	1.689	μB/f.u.

Lattice parameters (Å, degrees): 5.876 6.805 6.805 90.00 90.00 90.00
Sites, in units of the cell vectors:
N  0.234  0.145  0.645
N  0.500  0.000  0.000
N  0.500  0.500  0.500
N  0.766  0.855  0.355
N  0.766  0.645  0.855
N  0.234  0.855  0.355
N  0.766  0.145  0.645
N  0.766  0.355  0.145
N  0.234  0.645  0.855
N  0.234  0.355  0.145
Th  0.500  0.329  0.829
Th  0.500  0.829  0.671
Th  0.500  0.171  0.329
Th  0.500  0.671  0.171
Ce  0.000  0.000  0.000
Ce  0.000  0.500  0.500
Tc  0.000  0.000  0.500
Tc  0.000  0.500  0.000


11.
First-principles (GGA-PBE) data for NpScCoOs after structural relaxation, as listed in Alexandria.

Output
formation energy	-0.132	eV per atom
symmetry	F-43m
calculated density	12.67	g/cm3
DOS at the Fermi energy	0.704	states/eV per atom
total magnetic moment	2.554	μB/f.u.

Lattice parameters (Å, degrees): 4.617 4.617 4.617 60.00 60.00 60.00
Sites, in units of the cell vectors:
Np  0.500  0.500  0.500
Sc  0.000  0.000  0.000
Co  0.250  0.250  0.250
Os  0.750  0.750  0.750


12.
First-principles (GGA-PBE) data for ZnCI2N after structural relaxation, as listed in Alexandria.

Output
symmetry	P4/mmm
calculated density	4.58	g/cm3
DOS at the Fermi energy	0.623	states/eV per atom
calculated total energy	-12.11	eV for the cell shown
total magnetic moment	3.007	μB/f.u.

Lattice parameters (Å, degrees): 5.733 5.733 3.808 90.00 90.00 90.00
Sites, in units of the cell vectors:
N  0.000  0.000  0.500
Zn  0.000  0.000  0.000
I  0.500  0.000  0.000
I  0.000  0.500  0.000
C  0.500  0.500  0.500